## TaHgSN2 (PBE)

Data for an optimized crystal structure of TaHgSN2.

## Properties
Crystal system = tetragonal
Formation energy from raw total energies = 2.165 eV/atom

POSCAR file:
```
TaHgSN2
1.0
-0.4830 -4.0340 -0.4976
3.4788 -0.1512 -2.1516
2.5750 -0.8290 4.2215
N S Hg Ta
2 1 1 1
direct
0.0000 0.5000 0.0000
0.5000 0.0000 0.0000
0.0000 0.0000 0.5000
0.0000 0.0000 0.0000
0.5000 0.5000 0.5000
```

=====

## Ce2Th2Zr (PBE)

Data for an optimized crystal structure of Ce2Th2Zr.

## Properties
Energy of formation from the pure elements = 44 meV per atom
Crystal system = tetragonal

POSCAR file:
```
Ce2Th2Zr
1.0
3.4137 0.0000 -0.5477
-0.0879 3.4125 -0.5477
0.1813 0.1860 12.0415
Th Ce Zr
2 2 1
direct
0.4010 0.4010 0.8020
0.5990 0.5990 0.1980
0.7987 0.7987 0.5974
0.2013 0.2013 0.4026
0.0000 0.0000 0.0000
```

=====

## Th2Al4ZnCu3 (PBE)

Data for an optimized crystal structure of Th2Al4ZnCu3.

## Properties
Energy of formation from the pure elements = -415 meV per atom
Crystal system = tetragonal

POSCAR file:
```
Th2Al4ZnCu3
1.0
-2.8940 0.5563 -3.0845
1.5511 -3.3939 -2.0674
-6.4760 -6.0017 4.9935
Al Th Zn Cu
4 2 1 3
direct
0.0000 0.5000 0.3671
0.5000 0.0000 0.6329
0.0000 0.0000 0.0000
0.5000 0.5000 0.0000
0.5000 0.0000 0.2508
0.0000 0.5000 0.7492
0.5000 0.5000 0.5000
0.0000 0.0000 0.5000
0.0000 0.5000 0.1281
0.5000 0.0000 0.8719
```

=====

## Tb3Cu2Au (PBE)

Data for an optimized crystal structure of Tb3Cu2Au.

## Properties
Energy of formation from the pure elements = -441 meV per atom
Crystal system = trigonal

POSCAR file:
```
Tb3Cu2Au
1.0
5.0005 0.0000 0.0000
-2.5003 4.3306 0.0000
0.0000 0.0000 12.2793
Tb Au Cu
6 2 4
direct
0.3333 0.6667 0.4155
0.6667 0.3333 0.0798
0.0000 0.0000 0.7552
0.0000 0.0000 0.2448
0.6667 0.3333 0.5845
0.3333 0.6667 0.9202
0.6667 0.3333 0.3330
0.3333 0.6667 0.6670
0.6667 0.3333 0.8394
0.3333 0.6667 0.1606
0.0000 0.0000 0.0000
0.0000 0.0000 0.5000
```

=====

## Tb12CeHo3 (PBE)

Data for an optimized crystal structure of Tb12CeHo3.

## Properties
Energy of formation from the pure elements = 30 meV per atom
Crystal system = tetragonal

POSCAR file:
```
Tb12CeHo3
1.0
5.0234 0.0000 0.0000
0.0000 5.0234 0.0000
0.0000 0.0000 20.0887
Tb Ho Ce
12 3 1
direct
0.0000 0.5000 0.3748
0.5000 0.0000 0.1243
0.0000 0.5000 0.8757
0.5000 0.5000 0.2514
0.5000 0.5000 0.7486
0.5000 0.0000 0.3748
0.0000 0.5000 0.6252
0.5000 0.5000 0.0000
0.0000 0.5000 0.1243
0.5000 0.5000 0.5000
0.5000 0.0000 0.8757
0.5000 0.0000 0.6252
0.0000 0.0000 0.2493
0.0000 0.0000 0.7507
0.0000 0.0000 0.5000
0.0000 0.0000 0.0000
```

=====

## Li2ThBr6 (PBE)

Data for an optimized crystal structure of Li2ThBr6.

## Properties
Crystal system = monoclinic
Formation energy from raw total energies = -1.629 eV/atom

POSCAR file:
```
Li2ThBr6
1.0
-5.5142 1.5663 3.3575
2.0406 -4.2345 5.3268
5.7305 9.1959 5.1215
Br Th Li
12 2 4
direct
0.7594 0.8263 0.3313
0.7293 0.8391 0.9997
0.2293 0.6609 0.5003
0.2594 0.6737 0.1687
0.2707 0.1609 0.0003
0.7577 0.8262 0.6679
0.2423 0.1738 0.3321
0.2406 0.1737 0.6687
0.7707 0.3391 0.4997
0.7406 0.3263 0.8313
0.2577 0.6738 0.8321
0.7423 0.3262 0.1679
0.0000 0.0000 0.5000
0.5000 0.5000 0.0000
0.0012 0.4999 0.3307
0.5012 0.0001 0.1693
0.4988 0.9999 0.8307
0.9988 0.5001 0.6693
```